This record from the Alexandria database describes crystalline RbAcPm2 at its relaxed geometry. The functional is PBE-GGA.

a = 3.8018 Å, b = 3.8018 Å, c = 41.7211 Å
α = 90.00°, β = 90.00°, γ = 120.00°
Closest atoms and distances in Å follow each position.
Space group R-3m (No. 166, hexagonal axes)
Unique sites:
Rb (0.0000, 0.0000, 0.0000)  6 Rb 3.80, 2 Pm 3.93
Ac (0.0000, 0.0000, 0.5000)  6 Pm 3.74, 6 Ac 3.80
Pm (0.0000, 0.0000, 0.0942)  3 Ac 3.74, 6 Pm 3.80, 1 Rb 3.93

Summary:
As for the energy of formation from the pure elements: 278 meV per atom. The raw total energy is -3.366 eV per atom. The calculation puts the total moment at 0.00 μB/f.u.

---

This record from the Alexandria database describes crystalline Pd2I3Br at its relaxed geometry. The functional is PBE-GGA.

a = 8.1431 Å, b = 8.1431 Å, c = 6.2401 Å
α = 90.00°, β = 90.00°, γ = 120.00°
Closest atoms and distances in Å follow each position.
Space group P-3m1 (No. 164)
Unique sites:
Pd (0.0000, 0.0000, 0.0000)  6 I 2.83
Pd (0.0000, 0.5000, 0.0000)  2 Br 2.78, 4 I 2.78
I (0.1694, 0.3388, 0.2438)  3 Pd 2.78-2.83
Br (0.3333, 0.6667, 0.7618)  3 Pd 2.78

Summary:
The raw total energy is -2.877 eV per atom. The calculation puts the total moment at 2.04 μB/f.u. The formation energy without anion corrections is -0.092 eV/atom.

---

This record from the Alexandria database describes crystalline SiHg at its relaxed geometry. The functional is PBE-GGA.

a = 7.5361 Å, b = 7.5361 Å, c = 2.9046 Å
α = 90.00°, β = 90.00°, γ = 120.00°
Closest atoms and distances in Å follow each position.
Space group P-62m (No. 189)
Unique sites:
Si (0.0000, 0.0000, 0.0000)  3 Hg 2.62, 2 Si 2.90
Si (0.3333, 0.6667, 0.5000)  6 Hg 2.86, 2 Si 2.90
Hg (0.0000, 0.3480, 0.0000)  5 Si 2.62-2.86, 2 Hg 2.90

Summary:
The raw total energy is -2.282 eV per atom. The calculation puts the total moment at 0.00 μB/f.u. The formation energy without anion corrections is 0.581 eV/atom.

---

This record from the Alexandria database describes crystalline Ba2Tl3In5 at its relaxed geometry. The functional is PBE-GGA.

a = 12.5700 Å, b = 14.2940 Å, c = 7.2226 Å
α = 90.00°, β = 90.00°, γ = 90.00°
Closest atoms and distances in Å follow each position.
Space group Ibam (No. 72)
Unique sites:
Ba (0.2450, 0.1245, 0.0000)  6 Tl 3.81-3.99, 10 In 3.83-4.09
Tl (0.0000, 0.0000, 0.2500)  4 In 3.07
Tl (0.1401, 0.3780, 0.0000)  5 In 2.91-3.07
In (0.0000, 0.2561, 0.2500)  2 In 3.00, 2 Tl 3.07
In (0.0000, 0.5000, 0.2500)  4 Tl 3.07
In (0.1287, 0.1319, 0.5000)  3 Tl 2.91-3.07, 2 In 3.00

Summary:
As for the energy of formation from the pure elements: -280 meV per atom. The raw total energy is -2.744 eV per atom. The calculation puts the total moment at 0.00 μB/f.u.

---

This record from the Alexandria database describes crystalline RbAlSe3 at its relaxed geometry. The functional is PBE-GGA.

a = 5.1000 Å, b = 5.1000 Å, c = 5.1000 Å
α = 90.00°, β = 90.00°, γ = 90.00°
Closest atoms and distances in Å follow each position.
Space group Pm-3m (No. 221)
Unique sites:
Rb (0.0000, 0.0000, 0.0000)  12 Se 3.61
Al (0.5000, 0.5000, 0.5000)  6 Se 2.55
Se (0.0000, 0.5000, 0.5000)  2 Al 2.55

Summary:
The raw total energy is -3.541 eV per atom. The calculation puts the total moment at 0.00 μB/f.u. The formation energy without anion corrections is -0.508 eV/atom.

---

This record from the Alexandria database describes crystalline TmMgScPa at its relaxed geometry. The functional is PBE-GGA.

a = 7.4379 Å, b = 7.4379 Å, c = 7.4379 Å
α = 90.00°, β = 90.00°, γ = 90.00°
Closest atoms and distances in Å follow each position.
Space group F-43m (No. 216)
Unique sites:
Tm (0.0000, 0.0000, 0.0000)  4 Pa 3.22, 4 Mg 3.22
Mg (0.2500, 0.2500, 0.7500)  4 Tm 3.22, 4 Sc 3.22
Sc (0.0000, 0.0000, 0.5000)  4 Mg 3.22, 4 Pa 3.22
Pa (0.2500, 0.2500, 0.2500)  4 Sc 3.22, 4 Tm 3.22

Summary:
As for the energy of formation from the pure elements: 328 meV per atom. The raw total energy is -5.146 eV per atom. The calculation puts the total moment at 2.39 μB/f.u.

---

This record from the Alexandria database describes crystalline NaLa2As at its relaxed geometry. The functional is PBE-GGA.

a = 8.7359 Å, b = 8.7359 Å, c = 7.2125 Å
α = 90.00°, β = 90.00°, γ = 90.00°
Closest atoms and distances in Å follow each position.
Space group I-42d (No. 122)
Unique sites:
Na (0.0000, 0.0000, 0.0000)  8 La 3.53-3.89, 2 As 3.61
La (0.1993, 0.7500, 0.6250)  2 As 2.93
As (0.0000, 0.0000, 0.5000)  4 La 2.93

Summary:
As for the energy of formation from the pure elements: -337 meV per atom. The raw total energy is -4.292 eV per atom. The calculation puts the total moment at 0.00 μB/f.u.

---

This record from the Alexandria database describes crystalline SbOs3 at its relaxed geometry. The functional is PBE-GGA.

a = 2.8563 Å, b = 3.9813 Å, c = 5.6913 Å
α = 90.00°, β = 97.23°, γ = 90.00°
Closest atoms and distances in Å follow each position.
Space group P2/m (No. 10)
Unique sites:
Sb (0.0000, 0.0000, 0.0000)  6 Os 2.72-2.85, 2 Sb 2.86
Os (0.0000, 0.0000, 0.5000)  10 Os 2.75-2.86, 2 Sb 2.85
Os (0.4328, 0.5000, 0.2717)  7 Os 2.58-2.86, 2 Sb 2.72

Summary:
The raw total energy is -8.827 eV per atom. The calculation puts the total moment at 0.00 μB/f.u. The formation energy without anion corrections is 0.626 eV/atom.